Record 1
Compound: ScZnAgPt
Source: Alexandria
Functional: PBE
Structure: optimized geometry

Output
DOS(E_F) = 0.75 states/eV per atom
formation enthalpy at 0 K = -0.602 eV per atom

Lattice parameters (Å, degrees): 6.4736 6.4736 6.4736 90.00 90.00 90.00
Space group F-43m (No. 216)
Asymmetric unit:
Sc 0.0000 0.0000 0.0000
Zn 0.0000 0.0000 0.5000
Ag 0.2500 0.2500 0.7500
Pt 0.2500 0.2500 0.2500



Record 2
Compound: ZnRh4
Source: Alexandria
Functional: PBE
Structure: optimized geometry

Output
distance to the lowest polymorph of the same formula = 307 kJ/mol of formula units
DOS(E_F) = 1.30 states/eV per atom
formation enthalpy at 0 K = 0.510 eV per atom

Lattice parameters (Å, degrees): 4.7055 4.7055 7.8277 90.00 90.00 90.00
Space group I4/mmm (No. 139)
Asymmetric unit:
Zn 0.0000 0.0000 0.0000
Rh 0.0000 0.0000 0.3485
Rh 0.0000 0.5000 0.2500



Record 3
Compound: TaCSN2
Source: Alexandria
Functional: PBE
Structure: optimized geometry

Output
distance to the lowest polymorph of the same formula = 0 kJ/mol of formula units
DOS(E_F) = 0.21 states/eV per atom
E_form (uncorrected) = 1529 meV/atom

Lattice parameters (Å, degrees): 3.6435 3.6435 3.6603 90.00 90.00 90.00
Space group P4/mmm (No. 123)
Asymmetric unit:
Ta 0.0000 0.0000 0.0000
C 0.5000 0.5000 0.5000
S 0.5000 0.5000 0.0000
N 0.0000 0.5000 0.5000



Q: What is the formula in the second record?
A: ZnRh4



Q: DOS(E_F) of number 1 (ScZnAgPt)?
A: 0.75 states/eV per atom



Q: Which of these has the highest DOS(E_F)?
A: ZnRh4



Q: Which of these has the lowest DOS(E_F)?
A: TaCSN2